Record 1
This record from Alexandria via LeMat-Bulk describes crystalline Ca2Al at its relaxed geometry. The functional is PBE-GGA.

Cell lengths 9.2445, 9.2445, 9.2445 Å; angles 90.00, 90.00, 90.00 degrees
Space group Fd-3m (No. 227, origin choice 2)
One atom of each set of equivalent atoms:
Ca 0.0000 0.0000 0.0000
Al 0.1250 0.1250 0.6250

* ΔH_f (0 K): 486 meV per atom

---

Record 2
This record from Alexandria via LeMat-Bulk describes crystalline Ca2Al at its relaxed geometry. The functional is PBE-GGA.

Cell lengths 3.8372, 16.9061, 5.6263 Å; angles 90.00, 90.00, 90.00 degrees
Space group Cmcm (No. 63)
One atom of each set of equivalent atoms:
Ca 0.0000 0.0685 0.2500
Ca 0.0000 0.2366 0.7500
Al 0.0000 0.4068 0.2500

* ΔH_f (0 K): -86 meV per atom